! BaCr2RhO | Alexandria via LeMat-Bulk | PBE with a Hubbard U | relaxed; values from VASP
&SYSTEM
  ibrav = 0, nat = 5, ntyp = 4
/
ATOMIC_SPECIES
Ba 137.33 Ba.upf
Cr 52.00 Cr.upf
Rh 102.91 Rh.upf
O 16.00 O.upf
ATOMIC_POSITIONS crystal
Ba 0.000 0.000 0.000
Cr 0.000 0.500 0.000
Cr 0.500 0.000 0.000
Rh 0.000 0.000 0.500
O 0.500 0.500 0.500
CELL_PARAMETERS angstrom
6.339 0.000 0.000
0.000 6.339 0.000
0.000 0.000 5.064
! Space-group type: No. 123
! Crystal system: tetragonal
! DFT total energy (eV/cell): -19.88
! E above lowest polymorph (meV/atom): 1480
! Volume (Å³ per cell): 203.5